Record 1
VASP calculation (PBE-GGA) on an optimized crystal structure of LiZr2HgN.

Computed properties:
As for the formation energy from raw total energies: -0.723 eV per atom.

Unit cell a=4.4847 b=4.4847 c=4.1712 alpha=90.00 beta=90.00 gamma=90.00
Last column: nearest neighbours and their distance in Å.
Element x y z (fractional)
1 Li 0.0000 0.0000 0.5000  2 N 2.09
2 Hg 0.5000 0.5000 0.5000  8 Zr 3.06, 4 Li 3.17
3 Zr 0.0000 0.5000 0.0000  2 N 2.24
4 Zr 0.5000 0.0000 0.0000  2 N 2.24
5 N 0.0000 0.0000 0.0000  2 Li 2.09, 4 Zr 2.24



Record 2
VASP calculation (PBE-GGA) on an optimized crystal structure of In2Hg4PBr5.

Computed properties:
As for the formation energy from raw total energies: -0.317 eV per atom.

Unit cell a=6.7461 b=7.6743 c=9.1435 alpha=90.00 beta=90.00 gamma=116.07
Last column: nearest neighbours and their distance in Å.
Element x y z (fractional)
1 In 0.9808 0.6215 0.5000  5 Br 3.14-3.48
2 In 0.3592 0.3785 0.5000  5 Br 3.14-3.48
3 Hg 0.5984 0.0000 0.1891  1 P 2.48, 2 Br 2.77
4 Hg 0.5984 0.0000 0.8109  1 P 2.48, 2 Br 2.77
5 Hg 0.5148 0.3850 0.0000  1 P 2.66
6 Hg 0.1298 0.6150 0.0000  1 P 2.66
7 P 0.3354 0.0000 0.0000  4 Hg 2.48-2.66
8 Br 0.0125 0.2946 0.2477  1 Hg 2.77
9 Br 0.4280 0.0000 0.5000  2 Hg 3.07, 2 In 3.14
10 Br 0.0125 0.2946 0.7523  1 Hg 2.77
11 Br 0.7179 0.7054 0.7523  1 Hg 2.77
12 Br 0.7179 0.7054 0.2477  1 Hg 2.77



Record 3
VASP calculation (PBE-GGA) on an optimized crystal structure of TmAsSe2.

Computed properties:
As for the formation energy from raw total energies: -0.265 eV per atom.

Unit cell a=3.8311 b=3.8311 c=8.9076 alpha=77.58 beta=77.58 gamma=60.00
Last column: nearest neighbours and their distance in Å.
Element x y z (fractional)
1 As 0.5000 0.5000 0.5000  6 Se 2.70
2 Tm 0.0000 0.0000 0.0000  2 Se 2.77
3 Se 0.1072 0.1072 0.6784  3 As 2.70, 1 Tm 2.77
4 Se 0.8928 0.8928 0.3216  3 As 2.70, 1 Tm 2.77



Record 4
VASP calculation (PBE-GGA) on an optimized crystal structure of MgSc2Ru.

Computed properties:
The calculation puts the energy at -6.046 eV/atom.

Unit cell a=9.3454 b=9.3454 c=9.3454 alpha=20.00 beta=20.00 gamma=20.00
Last column: nearest neighbours and their distance in Å.
Element x y z (fractional)
1 Mg 0.7500 0.7500 0.7500  6 Mg 3.25, 6 Sc 3.28
2 Ru 0.2500 0.2500 0.2500  6 Sc 2.66
3 Sc 0.9853 0.9853 0.9853  3 Ru 2.66
4 Sc 0.5147 0.5147 0.5147  3 Ru 2.66



Table of M_tot (μB/f.u.), in record order: 0.00, 0.00, 0.00, 0.00